VASP calculation (GGA-PBE) on a geometry-optimized NiPb2Cl structure.

Calculated values
Its density of states at the Fermi level is 0.29 states/eV per atom. The formation energy from raw total energies is -0.12 eV/atom.

```
data_NiPb2Cl
_chemical_formula_sum 'Ni2 Pb4 Cl2'
_cell_length_a 4.798
_cell_length_b 4.812
_cell_length_c 7.982
_cell_angle_alpha 90.00
_cell_angle_beta 90.00
_cell_angle_gamma 90.00
_symmetry_space_group_name_H-M 'C m m m'
_symmetry_Int_Tables_number 65
_symmetry_space_group_name_Hall '-C 2 2'
loop_
_atom_site_label
_atom_site_type_symbol
_atom_site_fract_x
_atom_site_fract_y
_atom_site_fract_z
Ni1 Ni 0.000 0.000 0.000
Pb1 Pb 0.000 0.500 0.215
Cl1 Cl 0.000 0.000 0.500
```